Model i:
Computed, not measured: crystalline Ca2ZrTl at its relaxed geometry at the PBE-GGA level of DFT.

```
data_Ca2ZrTl
_cell_length_a 3.455
_cell_length_b 5.027
_cell_length_c 6.565
_cell_angle_alpha 90.00
_cell_angle_beta 90.00
_cell_angle_gamma 90.00
_space_group_name_H-M_alt 'P m m m'
_space_group_IT_number 47
_space_group_name_Hall '-P 2 2'
loop_
_atom_site_label
_atom_site_type_symbol
_atom_site_fract_x
_atom_site_fract_y
_atom_site_fract_z
Ca1 Ca 0.000 0.000 0.249
Zr1 Zr 0.500 0.500 0.500
Tl1 Tl 0.500 0.500 0.000
```

## Properties
Magnetization ... 0.00 Bohr magnetons per cell

Model ii:
Computed, not measured: crystalline Ca2ZrTl at its relaxed geometry at the PBE-GGA level of DFT.

```
data_Ca2ZrTl
_cell_length_a 7.659
_cell_length_b 7.659
_cell_length_c 7.659
_cell_angle_alpha 90.00
_cell_angle_beta 90.00
_cell_angle_gamma 90.00
_space_group_name_H-M_alt 'F -4 3 m'
_space_group_IT_number 216
_space_group_name_Hall 'F -4 2 3'
loop_
_atom_site_label
_atom_site_type_symbol
_atom_site_fract_x
_atom_site_fract_y
_atom_site_fract_z
Ca1 Ca 0.000 0.000 0.000
Ca2 Ca 0.250 0.250 0.250
Zr1 Zr 0.250 0.250 0.750
Tl1 Tl 0.000 0.000 0.500
```

## Properties
Magnetization ... 3.40 Bohr magnetons per cell

What is the stability order? It is model i, model ii, from most stable to least stable.